No. 1
DFT (PBE) results for a relaxed structure of Pr2Ho8Er.

The structure belongs to space group C2/m (No. 12); the cell edges are 9.0258, 16.0103 and 5.8872 Å and the angles 90.00°, 122.78° and 90.00°. The distinct sites, in fractional coordinates, are Pr at (0.0000, 0.1936, 0.0000), Ho at (0.0000, 0.2927, 0.5000), Ho at (0.0734, 0.0000, 0.2973), Ho at (0.2132, 0.3851, 0.1721) and Er at (0.0000, 0.5000, 0.5000).

Its energy above the most stable polymorph in this dataset is 0 meV per atom. The energy of formation from the pure elements comes out at 0.1594 eV per atom. The calculation puts the magnetic moment at 0.00 μB/f.u. The value obtained for the volume is 32.51 A^3/atom.

No. 2
DFT (PBE) results for a relaxed structure of Pr4Ho10Er.

The structure belongs to space group I4/mmm (No. 139); the cell edges are 11.2898, 11.2898 and 7.9586 Å and the angles 90.00°, 90.00° and 90.00°. The distinct sites, in fractional coordinates, are Pr at (0.2273, 0.2273, 0.0000), Ho at (0.0000, 0.2080, 0.2935), Ho at (0.0000, 0.5000, 0.2500) and Er at (0.0000, 0.0000, 0.0000).

The energy of formation from the pure elements comes out at 0.2692 eV per atom. The calculation puts the magnetic moment at 0.00 μB/f.u. The value obtained for the volume is 33.81 A^3/atom.

No. 3
DFT (PBE) results for a relaxed structure of Pr2Ho7Er3.

The structure belongs to space group P2/m (No. 10); the cell edges are 6.3188, 3.5062 and 17.3973 Å and the angles 90.00°, 96.15° and 90.00°. The distinct sites, in fractional coordinates, are Pr at (0.0600, 0.0000, 0.1735), Ho at (0.0000, 0.5000, 0.5000), Ho at (0.2290, 0.0000, 0.6663), Ho at (0.2568, 0.0000, 0.9989), Ho at (0.2756, 0.5000, 0.3379), Er at (0.4515, 0.5000, 0.8427) and Er at (0.5000, 0.0000, 0.5000).

Its energy above the most stable polymorph in this dataset is 0 meV per atom. The energy of formation from the pure elements comes out at 0.0803 eV per atom. The calculation puts the magnetic moment at 0.00 μB/f.u. The value obtained for the volume is 31.93 A^3/atom.

No. 4
DFT (PBE) results for a relaxed structure of PrHoEr.

The structure belongs to space group I4mm (No. 107); the cell edges are 3.5872, 3.5872 and 15.1854 Å and the angles 90.00°, 90.00° and 90.00°. The distinct sites, in fractional coordinates, are Pr at (0.0000, 0.0000, 0.0000), Ho at (0.0000, 0.0000, 0.6695) and Er at (0.0000, 0.0000, 0.3311).

Its energy above the most stable polymorph in this dataset is 6 meV per atom. The energy of formation from the pure elements comes out at 0.0268 eV per atom. The calculation puts the magnetic moment at 0.00 μB/f.u. The value obtained for the volume is 32.57 A^3/atom.